(1)
PmRhPbAu: relaxed, PBE.

Properties
- energy of formation (eV/f.u.) = -1.7
- symmetry = F-43m
- DFT total energy (eV per atom) = -5.209

abc: 7.065 7.065 7.065
angles: 90.00 90.00 90.00
Atoms (fractional coordinates):
Pm 0.000 0.000 0.000
Pm 0.000 0.500 0.500
Pm 0.500 0.000 0.500
Pm 0.500 0.500 0.000
Rh 0.250 0.250 0.750
Rh 0.250 0.750 0.250
Rh 0.750 0.250 0.250
Rh 0.750 0.750 0.750
Pb 0.000 0.000 0.500
Pb 0.000 0.500 0.000
Pb 0.500 0.000 0.000
Pb 0.500 0.500 0.500
Au 0.250 0.250 0.250
Au 0.250 0.750 0.750
Au 0.750 0.250 0.750
Au 0.750 0.750 0.250

(2)
PmScPbAu: relaxed, PBE.

Properties
- energy of formation (eV/f.u.) = -2.2
- symmetry = F-43m
- DFT total energy (eV per atom) = -5.071

abc: 7.363 7.363 7.363
angles: 90.00 90.00 90.00
Atoms (fractional coordinates):
Pm 0.000 0.000 0.000
Pm 0.000 0.500 0.500
Pm 0.500 0.000 0.500
Pm 0.500 0.500 0.000
Sc 0.000 0.000 0.500
Sc 0.000 0.500 0.000
Sc 0.500 0.000 0.000
Sc 0.500 0.500 0.500
Pb 0.250 0.250 0.250
Pb 0.250 0.750 0.750
Pb 0.750 0.250 0.750
Pb 0.750 0.750 0.250
Au 0.250 0.250 0.750
Au 0.250 0.750 0.250
Au 0.750 0.250 0.250
Au 0.750 0.750 0.750

(3)
PmSi2Pb2Au7: relaxed, PBE.

Properties
- ΔE_f (raw) (kJ/mol of formula units) = -271
- symmetry = C2/m
- DFT total energy (eV per atom) = -4.064

abc: 4.826 4.826 11.814
angles: 97.11 97.11 91.40
Atoms (fractional coordinates):
Pm 0.000 0.000 0.000
Si 0.313 0.313 0.785
Si 0.687 0.687 0.215
Pb 0.120 0.120 0.382
Pb 0.880 0.880 0.618
Au 0.145 0.559 0.178
Au 0.418 0.418 0.599
Au 0.441 0.855 0.822
Au 0.500 0.500 0.000
Au 0.559 0.145 0.178
Au 0.582 0.582 0.401
Au 0.855 0.441 0.822

(4)
PmSmPbAu: relaxed, PBE.

Properties
- energy of formation (eV/f.u.) = -2.5
- symmetry = F-43m
- DFT total energy (eV per atom) = -4.733

abc: 7.603 7.603 7.603
angles: 90.00 90.00 90.00
Atoms (fractional coordinates):
Pm 0.000 0.000 0.000
Pm 0.000 0.500 0.500
Pm 0.500 0.000 0.500
Pm 0.500 0.500 0.000
Sm 0.000 0.000 0.500
Sm 0.000 0.500 0.000
Sm 0.500 0.000 0.000
Sm 0.500 0.500 0.500
Pb 0.250 0.250 0.250
Pb 0.250 0.750 0.750
Pb 0.750 0.250 0.750
Pb 0.750 0.750 0.250
Au 0.250 0.250 0.750
Au 0.250 0.750 0.250
Au 0.750 0.250 0.250
Au 0.750 0.750 0.750

(5)
SrPmPbAu: relaxed, PBE.

Properties
- energy of formation (eV/f.u.) = -2.5
- symmetry = F-43m
- DFT total energy (eV per atom) = -3.973

abc: 7.780 7.780 7.780
angles: 90.00 90.00 90.00
Atoms (fractional coordinates):
Sr 0.000 0.000 0.000
Sr 0.000 0.500 0.500
Sr 0.500 0.000 0.500
Sr 0.500 0.500 0.000
Pm 0.000 0.000 0.500
Pm 0.000 0.500 0.000
Pm 0.500 0.000 0.000
Pm 0.500 0.500 0.500
Pb 0.250 0.250 0.750
Pb 0.250 0.750 0.250
Pb 0.750 0.250 0.250
Pb 0.750 0.750 0.750
Au 0.250 0.250 0.250
Au 0.250 0.750 0.750
Au 0.750 0.250 0.750
Au 0.750 0.750 0.250

(6)
PmThPbAu: relaxed, PBE.

Properties
- energy of formation (eV/f.u.) = -1.8
- symmetry = F-43m
- DFT total energy (eV per atom) = -5.245

abc: 7.643 7.643 7.643
angles: 90.00 90.00 90.00
Atoms (fractional coordinates):
Pm 0.000 0.000 0.000
Pm 0.000 0.500 0.500
Pm 0.500 0.000 0.500
Pm 0.500 0.500 0.000
Th 0.000 0.000 0.500
Th 0.000 0.500 0.000
Th 0.500 0.000 0.000
Th 0.500 0.500 0.500
Pb 0.250 0.250 0.750
Pb 0.250 0.750 0.250
Pb 0.750 0.250 0.250
Pb 0.750 0.750 0.750
Au 0.250 0.250 0.250
Au 0.250 0.750 0.750
Au 0.750 0.250 0.750
Au 0.750 0.750 0.250

(7)
PmYPbAu: relaxed, PBE.

Properties
- energy of formation (eV/f.u.) = -2.5
- symmetry = F-43m
- DFT total energy (eV per atom) = -5.175

abc: 7.537 7.537 7.537
angles: 90.00 90.00 90.00
Atoms (fractional coordinates):
Pm 0.000 0.000 0.000
Pm 0.000 0.500 0.500
Pm 0.500 0.000 0.500
Pm 0.500 0.500 0.000
Y 0.000 0.000 0.500
Y 0.000 0.500 0.000
Y 0.500 0.000 0.000
Y 0.500 0.500 0.500
Pb 0.250 0.250 0.250
Pb 0.250 0.750 0.750
Pb 0.750 0.250 0.750
Pb 0.750 0.750 0.250
Au 0.250 0.250 0.750
Au 0.250 0.750 0.250
Au 0.750 0.250 0.250
Au 0.750 0.750 0.750

(8)
PmZrPbAu: relaxed, PBE.

Properties
- energy of formation (eV/f.u.) = -1.5
- symmetry = F-43m
- DFT total energy (eV per atom) = -5.440

abc: 7.333 7.333 7.333
angles: 90.00 90.00 90.00
Atoms (fractional coordinates):
Pm 0.000 0.000 0.000
Pm 0.000 0.500 0.500
Pm 0.500 0.000 0.500
Pm 0.500 0.500 0.000
Zr 0.000 0.000 0.500
Zr 0.000 0.500 0.000
Zr 0.500 0.000 0.000
Zr 0.500 0.500 0.500
Pb 0.250 0.250 0.250
Pb 0.250 0.750 0.750
Pb 0.750 0.250 0.750
Pb 0.750 0.750 0.250
Au 0.250 0.250 0.750
Au 0.250 0.750 0.250
Au 0.750 0.250 0.250
Au 0.750 0.750 0.750